(w)
The following is a DFT calculation (PBE-GGA) of an optimized crystal structure of LiRe2O2.

Structure (CIF):
```
data_LiRe2O2
_chemical_formula_sum 'Li2 Re4 O4'
_cell_length_a 6.569
_cell_length_b 6.569
_cell_length_c 2.644
_cell_angle_alpha 90.00
_cell_angle_beta 90.00
_cell_angle_gamma 90.00
_symmetry_space_group_name_H-M 'P 4/m b m'
_symmetry_Int_Tables_number 127
_symmetry_space_group_name_Hall '-P 4 2ab'
loop_
_atom_site_label
_atom_site_type_symbol
_atom_site_fract_x
_atom_site_fract_y
_atom_site_fract_z
Li1 Li 0.000 0.000 0.000
Re1 Re 0.208 0.292 0.500
O1 O 0.128 0.628 0.000
```

---

(x)
The following is a DFT calculation (PBE-GGA) of an optimized crystal structure of LiRe2O2.

Structure (CIF):
```
data_LiRe2O2
_chemical_formula_sum 'Li2 Re4 O4'
_cell_length_a 3.831
_cell_length_b 3.831
_cell_length_c 8.677
_cell_angle_alpha 90.00
_cell_angle_beta 90.00
_cell_angle_gamma 90.00
_symmetry_space_group_name_H-M 'I 4/m m m'
_symmetry_Int_Tables_number 139
_symmetry_space_group_name_Hall '-I 4 2'
loop_
_atom_site_label
_atom_site_type_symbol
_atom_site_fract_x
_atom_site_fract_y
_atom_site_fract_z
Li1 Li 0.000 0.000 0.000
Re1 Re 0.000 0.000 0.371
O1 O 0.000 0.500 0.250
```

---

Quick one: least stable of them? (w)

---

(w)
The following is a DFT calculation (PBE-GGA) of an optimized crystal structure of LiReO2.

Structure (CIF):
```
data_LiReO2
_chemical_formula_sum 'Li4 Re4 O8'
_cell_length_a 4.828
_cell_length_b 4.828
_cell_length_c 7.485
_cell_angle_alpha 90.00
_cell_angle_beta 90.00
_cell_angle_gamma 90.00
_symmetry_space_group_name_H-M 'I -4 2 d'
_symmetry_Int_Tables_number 122
_symmetry_space_group_name_Hall 'I -4 2bw'
loop_
_atom_site_label
_atom_site_type_symbol
_atom_site_fract_x
_atom_site_fract_y
_atom_site_fract_z
Li1 Li 0.000 0.000 0.000
Re1 Re 0.000 0.000 0.500
O1 O 0.232 0.250 0.125
```

---

(x)
The following is a DFT calculation (PBE-GGA) of an optimized crystal structure of LiReO2.

Structure (CIF):
```
data_LiReO2
_chemical_formula_sum 'Li3 Re3 O6'
_cell_length_a 2.9212
_cell_length_b 2.9212
_cell_length_c 17.9254
_cell_angle_alpha 90.00
_cell_angle_beta 90.00
_cell_angle_gamma 120.00
_symmetry_space_group_name_H-M 'R -3 m'
_symmetry_Int_Tables_number 166
_symmetry_space_group_name_Hall '-R 3 2"'
loop_
_atom_site_label
_atom_site_type_symbol
_atom_site_fract_x
_atom_site_fract_y
_atom_site_fract_z
Li1 Li 0.0000 0.0000 0.0000
Re1 Re 0.0000 0.0000 0.5000
O1 O 0.0000 0.0000 0.4002
```

---

(y)
The following is a DFT calculation (PBE-GGA) of an optimized crystal structure of LiReO2.

Structure (CIF):
```
data_LiReO2
_chemical_formula_sum 'Li3 Re3 O6'
_cell_length_a 2.7765
_cell_length_b 2.7765
_cell_length_c 18.9029
_cell_angle_alpha 90.00
_cell_angle_beta 90.00
_cell_angle_gamma 120.00
_symmetry_space_group_name_H-M 'R -3 m'
_symmetry_Int_Tables_number 166
_symmetry_space_group_name_Hall '-R 3 2"'
loop_
_atom_site_label
_atom_site_type_symbol
_atom_site_fract_x
_atom_site_fract_y
_atom_site_fract_z
Li1 Li 0.0000 0.0000 0.0000
Re1 Re 0.0000 0.0000 0.5000
O1 O 0.0000 0.0000 0.0931
```

---

Quick one: least stable of them? (w)

---

(w)
The following is a DFT calculation (PBE-GGA) of an optimized crystal structure of LiReO4.

Structure (CIF):
```
data_LiReO4
_chemical_formula_sum 'Li2 Re2 O8'
_cell_length_a 5.566
_cell_length_b 5.566
_cell_length_c 8.843
_cell_angle_alpha 90.00
_cell_angle_beta 90.00
_cell_angle_gamma 90.00
_symmetry_space_group_name_H-M 'I -4'
_symmetry_Int_Tables_number 82
loop_
_symmetry_equiv_pos_as_xyz
'x,y,z'
'y,-x,-z'
'-x,-y,z'
'-y,x,-z'
'x+1/2,y+1/2,z+1/2'
'y+1/2,-x+1/2,-z+1/2'
'-x+1/2,-y+1/2,z+1/2'
'-y+1/2,x+1/2,-z+1/2'
loop_
_atom_site_label
_atom_site_type_symbol
_atom_site_fract_x
_atom_site_fract_y
_atom_site_fract_z
Li1 Li 0.000 0.000 0.000
Re1 Re 0.000 0.500 0.250
O1 O 0.092 0.260 0.136
```

---

(x)
The following is a DFT calculation (PBE-GGA) of an optimized crystal structure of LiReO4.

Structure (CIF):
```
data_LiReO4
_chemical_formula_sum 'Li4 Re4 O16'
_cell_length_a 4.633
_cell_length_b 4.621
_cell_length_c 17.714
_cell_angle_alpha 90.00
_cell_angle_beta 90.08
_cell_angle_gamma 90.00
_symmetry_space_group_name_H-M 'P 1 21/c 1'
_symmetry_Int_Tables_number 14
loop_
_symmetry_equiv_pos_as_xyz
'x,y,z'
'-x,-y,-z'
'-x,y+1/2,-z+1/2'
'x,-y+1/2,z+1/2'
loop_
_atom_site_label
_atom_site_type_symbol
_atom_site_fract_x
_atom_site_fract_y
_atom_site_fract_z
Li1 Li 0.250 0.005 0.123
Re1 Re 0.250 0.005 0.376
O1 O 0.025 0.717 0.821
O2 O 0.028 0.230 0.431
O3 O 0.472 0.721 0.931
O4 O 0.474 0.227 0.321
```

---

(y)
The following is a DFT calculation (PBE-GGA) of an optimized crystal structure of LiReO4.

Structure (CIF):
```
data_LiReO4
_chemical_formula_sum 'Li6 Re6 O24'
_cell_length_a 7.043
_cell_length_b 8.620
_cell_length_c 9.925
_cell_angle_alpha 97.39
_cell_angle_beta 106.36
_cell_angle_gamma 101.66
_symmetry_space_group_name_H-M 'P -1'
_symmetry_Int_Tables_number 2
loop_
_symmetry_equiv_pos_as_xyz
'x,y,z'
'-x,-y,-z'
loop_
_atom_site_label
_atom_site_type_symbol
_atom_site_fract_x
_atom_site_fract_y
_atom_site_fract_z
Li1 Li 0.035 0.118 0.286
Li2 Li 0.253 0.698 0.912
Li3 Li 0.464 0.303 0.512
Re1 Re 0.021 0.290 0.622
Re2 Re 0.297 0.404 0.160
Re3 Re 0.495 0.007 0.245
O1 O 0.016 0.121 0.703
O2 O 0.059 0.277 0.148
O3 O 0.137 0.270 0.487
O4 O 0.153 0.466 0.751
O5 O 0.230 0.699 0.457
O6 O 0.252 0.562 0.074
O7 O 0.272 0.876 0.761
O8 O 0.343 0.906 0.073
O9 O 0.360 0.130 0.318
O10 O 0.435 0.297 0.078
O11 O 0.440 0.482 0.342
O12 O 0.454 0.135 0.649
```

---

Quick one: least stable of them? (x)

---

(w)
The following is a DFT calculation (PBE-GGA) of an optimized crystal structure of Li3ReO.

Structure (CIF):
```
data_Li3ReO
_chemical_formula_sum 'Li3 Re1 O1'
_cell_length_a 3.985
_cell_length_b 3.985
_cell_length_c 3.985
_cell_angle_alpha 90.00
_cell_angle_beta 90.00
_cell_angle_gamma 90.00
_symmetry_space_group_name_H-M 'P m -3 m'
_symmetry_Int_Tables_number 221
_symmetry_space_group_name_Hall '-P 4 2 3'
loop_
_atom_site_label
_atom_site_type_symbol
_atom_site_fract_x
_atom_site_fract_y
_atom_site_fract_z
Li1 Li 0.000 0.000 0.500
Re1 Re 0.500 0.500 0.500
O1 O 0.000 0.000 0.000
```

---

(x)
The following is a DFT calculation (PBE-GGA) of an optimized crystal structure of Li3ReO.

Structure (CIF):
```
data_Li3ReO
_chemical_formula_sum 'Li3 Re1 O1'
_cell_length_a 4.947
_cell_length_b 4.947
_cell_length_c 4.947
_cell_angle_alpha 90.00
_cell_angle_beta 90.00
_cell_angle_gamma 90.00
_symmetry_space_group_name_H-M 'P m -3 m'
_symmetry_Int_Tables_number 221
_symmetry_space_group_name_Hall '-P 4 2 3'
loop_
_atom_site_label
_atom_site_type_symbol
_atom_site_fract_x
_atom_site_fract_y
_atom_site_fract_z
Li1 Li 0.000 0.000 0.500
Re1 Re 0.000 0.000 0.000
O1 O 0.500 0.500 0.500
```

---

Quick one: least stable of them? (x)

---

(w)
The following is a DFT calculation (PBE-GGA) of an optimized crystal structure of LiRe3O.

Structure (CIF):
```
data_LiRe3O
_chemical_formula_sum 'Li1 Re3 O1'
_cell_length_a 4.117
_cell_length_b 4.117
_cell_length_c 4.117
_cell_angle_alpha 90.00
_cell_angle_beta 90.00
_cell_angle_gamma 90.00
_symmetry_space_group_name_H-M 'P m -3 m'
_symmetry_Int_Tables_number 221
_symmetry_space_group_name_Hall '-P 4 2 3'
loop_
_atom_site_label
_atom_site_type_symbol
_atom_site_fract_x
_atom_site_fract_y
_atom_site_fract_z
Li1 Li 0.000 0.000 0.000
Re1 Re 0.000 0.000 0.500
O1 O 0.500 0.500 0.500
```

---

(x)
The following is a DFT calculation (PBE-GGA) of an optimized crystal structure of LiRe3O.

Structure (CIF):
```
data_LiRe3O
_chemical_formula_sum 'Li1 Re3 O1'
_cell_length_a 4.066
_cell_length_b 4.066
_cell_length_c 4.066
_cell_angle_alpha 90.00
_cell_angle_beta 90.00
_cell_angle_gamma 90.00
_symmetry_space_group_name_H-M 'P m -3 m'
_symmetry_Int_Tables_number 221
_symmetry_space_group_name_Hall '-P 4 2 3'
loop_
_atom_site_label
_atom_site_type_symbol
_atom_site_fract_x
_atom_site_fract_y
_atom_site_fract_z
Li1 Li 0.000 0.000 0.000
Re1 Re 0.000 0.500 0.500
O1 O 0.500 0.500 0.500
```

---

Quick one: least stable of them? (w)

---

(w)
The following is a DFT calculation (PBE-GGA) of an optimized crystal structure of Li3ReO4.

Structure (CIF):
```
data_Li3ReO4
_chemical_formula_sum 'Li6 Re2 O8'
_cell_length_a 5.268
_cell_length_b 5.897
_cell_length_c 4.853
_cell_angle_alpha 90.00
_cell_angle_beta 108.70
_cell_angle_gamma 90.00
_symmetry_space_group_name_H-M 'P 1 2/c 1'
_symmetry_Int_Tables_number 13
loop_
_symmetry_equiv_pos_as_xyz
'x,y,z'
'-x,-y,-z'
'-x,y,-z+1/2'
'x,-y,z+1/2'
loop_
_atom_site_label
_atom_site_type_symbol
_atom_site_fract_x
_atom_site_fract_y
_atom_site_fract_z
Li1 Li 0.000 0.099 0.250
Li2 Li 0.500 0.114 0.750
Li3 Li 0.500 0.364 0.250
Re1 Re 0.000 0.389 0.750
O1 O 0.227 0.159 0.983
O2 O 0.247 0.367 0.492
```

---

(x)
The following is a DFT calculation (PBE-GGA) of an optimized crystal structure of Li3ReO4.

Structure (CIF):
```
data_Li3ReO4
_chemical_formula_sum 'Li6 Re2 O8'
_cell_length_a 3.969
_cell_length_b 7.094
_cell_length_c 6.060
_cell_angle_alpha 90.00
_cell_angle_beta 90.00
_cell_angle_gamma 90.00
_symmetry_space_group_name_H-M 'P m m n'
_symmetry_Int_Tables_number 59
loop_
_symmetry_equiv_pos_as_xyz
'x,y,z'
'-x,-y,-z'
'-x+1/2,-y+1/2,z'
'x+1/2,y+1/2,-z'
'x+1/2,-y,-z'
'-x+1/2,y,z'
'-x,y+1/2,-z'
'x,-y+1/2,z'
loop_
_atom_site_label
_atom_site_type_symbol
_atom_site_fract_x
_atom_site_fract_y
_atom_site_fract_z
Li1 Li 0.250 0.015 0.161
Li2 Li 0.250 0.750 0.686
Re1 Re 0.250 0.250 0.664
O1 O 0.250 0.022 0.823
O2 O 0.250 0.250 0.353
O3 O 0.250 0.750 0.336
```

---

Quick one: least stable of them? (x)